Here is an optimized crystal structure of Sm12Dy6Zr from the Alexandria database. Energies are from PBE.

Size of the total moment in Bohr magnetons per cell: 0.0
Calculated formation energy in eV per atom: 0.034
DOS(E_F) in states/eV/f.u.: 23.2

Cell lengths 9.4571, 9.4571, 9.4571 Å; angles 110.92, 110.92, 110.92 degrees
Atoms (fractional coordinates):
Dy 0.3110 0.4645 0.2088
Sm 0.4173 0.6274 0.9440
Dy 0.5355 0.7912 0.6890
Sm 0.2582 0.8971 0.8457
Sm 0.8457 0.2582 0.8971
Dy 0.2088 0.3110 0.4645
Sm 0.6274 0.9440 0.4173
Sm 0.1029 0.1543 0.7418
Zr 0.0000 0.0000 0.0000
Sm 0.5827 0.3726 0.0560
Sm 0.9440 0.4173 0.6274
Dy 0.7912 0.6890 0.5355
Sm 0.3726 0.0560 0.5827
Sm 0.8971 0.8457 0.2582
Sm 0.7418 0.1029 0.1543
Sm 0.0560 0.5827 0.3726
Sm 0.1543 0.7418 0.1029
Dy 0.6890 0.5355 0.7912
Dy 0.4645 0.2088 0.3110